# HoIn4Cl6 PBE-GGA relaxed
data_HoIn4Cl6
_chemical_formula_sum 'Ho2 In8 Cl12'
_symmetry_space_group_name_H-M 'P 4/m n c'
_symmetry_Int_Tables_number 128
_symmetry_space_group_name_Hall '-P 4 2n'
_cell_length_a 8.375
_cell_length_b 8.375
_cell_length_c 10.755
_cell_angle_alpha 90.00
_cell_angle_beta 90.00
_cell_angle_gamma 90.00
loop_
_atom_site_label
_atom_site_type_symbol
_atom_site_fract_x
_atom_site_fract_y
_atom_site_fract_z
Ho1 Ho 0.000 0.000 0.000
In1 In 0.152 0.348 0.250
Cl1 Cl 0.000 0.000 0.247
Cl2 Cl 0.182 0.743 0.000
# formation energy without anion corrections = -1.17 eV/atom

=====

# YNiSb2 PBE-GGA relaxed
data_YNiSb2
_chemical_formula_sum 'Y4 Ni4 Sb8'
_symmetry_space_group_name_H-M 'F -4 3 m'
_symmetry_Int_Tables_number 216
_symmetry_space_group_name_Hall 'F -4 2 3'
_cell_length_a 7.174
_cell_length_b 7.174
_cell_length_c 7.174
_cell_angle_alpha 90.00
_cell_angle_beta 90.00
_cell_angle_gamma 90.00
loop_
_atom_site_label
_atom_site_type_symbol
_atom_site_fract_x
_atom_site_fract_y
_atom_site_fract_z
Y1 Y 0.000 0.000 0.000
Ni1 Ni 0.250 0.250 0.750
Sb1 Sb 0.000 0.000 0.500
Sb2 Sb 0.250 0.250 0.250
# formation energy without anion corrections = -0.09 eV/atom

=====

# UCo4W PBE-GGA relaxed
data_UCo4W
_chemical_formula_sum 'U4 Co16 W4'
_symmetry_space_group_name_H-M 'F -4 3 m'
_symmetry_Int_Tables_number 216
_symmetry_space_group_name_Hall 'F -4 2 3'
_cell_length_a 6.806
_cell_length_b 6.806
_cell_length_c 6.806
_cell_angle_alpha 90.00
_cell_angle_beta 90.00
_cell_angle_gamma 90.00
loop_
_atom_site_label
_atom_site_type_symbol
_atom_site_fract_x
_atom_site_fract_y
_atom_site_fract_z
U1 U 0.000 0.000 0.000
Co1 Co 0.124 0.124 0.376
W1 W 0.250 0.250 0.750
# energy relative to the elements = 28 meV per atom